No. 1
Density functional theory data (PBE-GGA) for a relaxed structure of PrHoAgHg.

It has space group P4mm (No. 99), with a = 3.716 Å, b = 3.716 Å, c = 7.590 Å, α = 90.00°, β = 90.00° and γ = 90.00°. The asymmetric unit holds Pr at (0.000, 0.000, 0.000), Ho at (0.000, 0.000, 0.489), Ag at (0.500, 0.500, 0.271) and Hg at (0.500, 0.500, 0.726).

As for the density of states at the Fermi level: 0.974 states/eV per atom. For the energy of formation from the pure elements, the calculation gives -0.38 eV/atom. As for the crystal system: tetragonal.

=====

No. 2
Density functional theory data (PBE-GGA) for a relaxed structure of TbTh2H8.

It has space group Immm (No. 71), with a = 3.967 Å, b = 4.809 Å, c = 12.179 Å, α = 90.00°, β = 90.00° and γ = 90.00°. The asymmetric unit holds Tb at (0.000, 0.000, 0.000), Th at (0.000, 0.000, 0.332), H at (0.000, 0.245, 0.155), H at (0.000, 0.250, 0.500) and H at (0.000, 0.500, 0.304).

The total energy is -0.1731 Ha/atom. As for the density of states at the Fermi level: 0.336 states/eV per atom. As for the crystal system: orthorhombic.

=====

No. 3
Density functional theory data (PBE-GGA) for a relaxed structure of La2CdGe4Au3.

It has space group P-4m2 (No. 115), with a = 4.508 Å, b = 4.508 Å, c = 10.808 Å, α = 90.00°, β = 90.00° and γ = 90.00°. The asymmetric unit holds La at (0.000, 0.500, 0.243), Cd at (0.000, 0.000, 0.500), Ge at (0.000, 0.000, 0.000), Ge at (0.000, 0.500, 0.641), Ge at (0.500, 0.500, 0.000), Au at (0.000, 0.500, 0.874) and Au at (0.500, 0.500, 0.500).

As for the density of states at the Fermi level: 0.262 states/eV per atom. For the energy of formation from the pure elements, the calculation gives -0.57 eV/atom. As for the crystal system: tetragonal.

=====

No. 4
Density functional theory data (PBE-GGA) for a relaxed structure of Hg4TeSI2.

It has space group Pmn2_1 (No. 31), with a = 11.155 Å, b = 7.333 Å, c = 7.329 Å, α = 90.00°, β = 90.00° and γ = 90.00°. The asymmetric unit holds Hg at (0.000, 0.050, 0.000), Hg at (0.000, 0.922, 0.532), Hg at (0.240, 0.744, 0.197), Te at (0.000, 0.269, 0.703), S at (0.000, 0.791, 0.207) and I at (0.219, 0.749, 0.692).

The uncorrected formation energy is -104 kJ/mol of formula units. As for the crystal system: orthorhombic.

=====

No. 5
Density functional theory data (PBE-GGA) for a relaxed structure of Li2MnHg.

It has space group R-3m (No. 166, hexagonal axes), with a = 3.0267 Å, b = 3.0267 Å, c = 28.1066 Å, α = 90.00°, β = 90.00° and γ = 120.00°. The asymmetric unit holds Li at (0.0000, 0.0000, 0.2488), Mn at (0.0000, 0.0000, 0.5000) and Hg at (0.0000, 0.0000, 0.0000).

As for the density of states at the Fermi level: 0.524 states/eV per atom. For the energy of formation from the pure elements, the calculation gives 0.15 eV/atom. As for the crystal system: trigonal.

=====

No. 6
Density functional theory data (PBE-GGA) for a relaxed structure of RbLiCa2B.

It has space group P4/mmm (No. 123), with a = 6.359 Å, b = 6.359 Å, c = 4.900 Å, α = 90.00°, β = 90.00° and γ = 90.00°. The asymmetric unit holds Rb at (0.000, 0.000, 0.000), Li at (0.500, 0.500, 0.500), Ca at (0.000, 0.500, 0.000) and B at (0.000, 0.000, 0.500).

As for the density of states at the Fermi level: 1.092 states/eV per atom. For the energy of formation from the pure elements, the calculation gives 1.49 eV/atom. As for the crystal system: tetragonal.